This record from Alexandria via LeMat-Bulk describes crystalline TlCd6In at its relaxed geometry. The functional is GGA-PBE.

Cell: 5.858 5.858 5.858 Å, 90.00 90.00 90.00°
Positions (direct):
Tl  0.000  0.000  0.000
Cd  0.000  0.251  0.500
Cd  0.000  0.749  0.500
Cd  0.251  0.500  0.000
Cd  0.500  0.000  0.251
Cd  0.500  0.000  0.749
Cd  0.749  0.500  0.000
In  0.500  0.500  0.500

## Properties
* crystal system: cubic
* ΔH_f (0 K): 7 kJ per mole of atoms
* relative energy among the computed polymorphs: 0.18 eV per formula unit
* Fermi-level density of states: 3.34 states/eV per cell
* symmetry: Pm-3

***

This record from Alexandria via LeMat-Bulk describes crystalline Tl10CdIn6 at its relaxed geometry. The functional is GGA-PBE.

Cell: 9.504 9.504 6.519 Å, 90.00 90.00 120.00°
Positions (direct):
Tl  0.000  0.266  0.292
Tl  0.000  0.734  0.708
Tl  0.266  0.000  0.292
Tl  0.266  0.266  0.708
Tl  0.333  0.667  0.000
Tl  0.333  0.667  0.500
Tl  0.667  0.333  0.000
Tl  0.667  0.333  0.500
Tl  0.734  0.000  0.708
Tl  0.734  0.734  0.292
Cd  0.000  0.000  0.000
In  0.000  0.386  0.781
In  0.000  0.614  0.219
In  0.386  0.000  0.781
In  0.386  0.386  0.219
In  0.614  0.000  0.219
In  0.614  0.614  0.781

## Properties
* crystal system: trigonal
* ΔH_f (0 K): 4 kJ per mole of atoms
* Fermi-level density of states: 7.25 states/eV per cell
* symmetry: P-31m

***

This record from Alexandria via LeMat-Bulk describes crystalline TlCd2In at its relaxed geometry. The functional is GGA-PBE.

Cell: 3.549 4.919 6.216 Å, 90.00 102.25 90.00°
Positions (direct):
Tl  0.000  0.000  0.000
Cd  0.576  0.500  0.199
Cd  0.735  0.000  0.486
In  0.317  0.500  0.674

## Properties
* crystal system: monoclinic
* ΔH_f (0 K): 4 kJ per mole of atoms
* relative energy among the computed polymorphs: 0.08 eV per formula unit
* Fermi-level density of states: 1.51 states/eV per cell
* symmetry: Pm

***

This record from Alexandria via LeMat-Bulk describes crystalline TlCd2In at its relaxed geometry. The functional is GGA-PBE.

Cell: 6.210 6.210 3.407 Å, 101.96 101.96 117.44°
Positions (direct):
Tl  0.000  0.000  0.000
Cd  0.000  0.500  0.500
Cd  0.500  0.000  0.500
In  0.500  0.500  0.000

## Properties
* crystal system: monoclinic
* ΔH_f (0 K): 6 kJ per mole of atoms
* relative energy among the computed polymorphs: 0.15 eV per formula unit
* Fermi-level density of states: 1.19 states/eV per cell
* symmetry: C2/m